No. 1
A relaxed structure of La8Nd2Tm. Source: the Alexandria database, functional GGA-PBE.

abc: 5.247 8.266 9.774
angles: 104.57 105.57 90.00
Fractional coordinates of all 11 atoms:
La: 0.590 0.452 0.180
La: 0.319 0.088 0.639
La: 0.136 0.181 0.272
La: 0.046 0.728 0.092
La: 0.864 0.819 0.728
La: 0.681 0.912 0.361
La: 0.410 0.548 0.820
La: 0.954 0.272 0.908
Nd: 0.226 0.636 0.453
Nd: 0.774 0.364 0.547
Tm: 0.500 0.000 0.000

Calculated values
space-group type = No. 12
energy above the most stable polymorph in this dataset = 0 meV/atom

=====

No. 2
A relaxed structure of LiZn2Tc. Source: the Alexandria database, functional GGA-PBE.

abc: 2.598 2.598 8.534
angles: 90.00 90.00 90.00
Fractional coordinates of all 4 atoms:
Li: 0.000 0.000 0.496
Tc: 0.500 0.500 0.754
Zn: 0.000 0.000 0.000
Zn: 0.500 0.500 0.250

Calculated values
space-group type = No. 99
energy above the most stable polymorph in this dataset = 164 meV/atom

=====

No. 3
A relaxed structure of CaTb4Hg4. Source: the Alexandria database, functional GGA-PBE.

abc: 5.988 9.825 9.825
angles: 90.00 90.00 90.00
Fractional coordinates of all 18 atoms:
Ca: 0.000 0.000 0.000
Ca: 0.500 0.500 0.500
Tb: 0.412 0.345 0.908
Tb: 0.912 0.592 0.845
Tb: 0.412 0.655 0.092
Tb: 0.088 0.155 0.592
Tb: 0.588 0.908 0.655
Tb: 0.088 0.845 0.408
Tb: 0.912 0.408 0.155
Tb: 0.588 0.092 0.345
Hg: 0.585 0.779 0.360
Hg: 0.585 0.221 0.640
Hg: 0.085 0.860 0.721
Hg: 0.915 0.279 0.860
Hg: 0.915 0.721 0.140
Hg: 0.415 0.360 0.221
Hg: 0.415 0.640 0.779
Hg: 0.085 0.140 0.279

Calculated values
space-group type = No. 86

=====

E_tot, respectively: -53.3; -14.5; -47.8 eV for the cell shown.
Energy of formation from the pure elements, respectively: 0.015; 0.077; -0.241 eV/atom.